[1]
# MnTlAuSe2 (PBE, relaxed)
data_MnTlAuSe2
_cell_length_a 5.564
_cell_length_b 11.712
_cell_length_c 7.666
_cell_angle_alpha 90.00
_cell_angle_beta 90.00
_cell_angle_gamma 90.00
_space_group_name_H-M_alt 'C m m e'
_space_group_IT_number 67
_space_group_name_Hall '-C 2a 2'
loop_
_atom_site_label
_atom_site_fract_x
_atom_site_fract_y
_atom_site_fract_z
Mn1 0.250 0.000 0.000
Tl1 0.000 0.250 0.259
Au1 0.000 0.000 0.500
Se1 0.000 0.097 0.803
# Formation energy from raw total energies, eV/f.u.: -1.0
# Density, g cm⁻³: 8.168
# Uncorrected energy, eV/atom: -4.55
# Crystal system: orthorhombic

---

[2]
# Pr3Nd4TmTe8 (PBE, relaxed)
data_Pr3Nd4TmTe8
_cell_length_a 15.536
_cell_length_b 8.996
_cell_length_c 8.962
_cell_angle_alpha 90.00
_cell_angle_beta 125.18
_cell_angle_gamma 90.00
_space_group_name_H-M_alt 'C 1 2/m 1'
_space_group_IT_number 12
loop_
_space_group_symop_operation_xyz
'x,y,z'
'-x,-y,-z'
'-x,y,-z'
'x,-y,z'
'x+1/2,y+1/2,z'
'-x+1/2,-y+1/2,-z'
'-x+1/2,y+1/2,-z'
'x+1/2,-y+1/2,z'
loop_
_atom_site_label
_atom_site_fract_x
_atom_site_fract_y
_atom_site_fract_z
Pr1 0.000 0.000 0.000
Pr2 0.250 0.250 0.500
Nd1 0.000 0.000 0.500
Nd2 0.000 0.500 0.500
Nd3 0.250 0.250 0.000
Tm1 0.000 0.500 0.000
Te1 0.001 0.257 0.756
Te2 0.244 0.500 0.242
Te3 0.249 0.500 0.751
# Formation energy from raw total energies, eV/f.u.: -22.2
# Density, g cm⁻³: 7.103
# Uncorrected energy, eV/atom: -5.33
# Crystal system: monoclinic